DFT (PBE-GGA) results for an optimized crystal structure of CaNiAu2.

extended XYZ file:
```
4
Lattice="4.5275 0.0000 0.0000 0.0000 3.6380 -0.0240 0.0000 0.0761 5.2064" Properties=species:S:1:pos:R:3 pbc="T T T"
Ni 2.2638 3.6667 3.9285
Ca 0.0000 1.8629 2.5724
Au 0.0000 0.0743 5.0438
Au 2.2638 0.0434 1.4353
```

Computed properties:
- ρ (Mg/m³) = 9.54
- calculated total energy (eV per atom) = -3.85

DFT (PBE-GGA) results for an optimized crystal structure of CaNi2Au.

extended XYZ file:
```
8
Lattice="4.3166 0.0000 0.0000 0.0000 4.3166 0.0000 2.1583 2.1583 8.9513" Properties=species:S:1:pos:R:3 pbc="T T T"
Ni 3.9697 1.0791 2.2378
Ni 4.6635 3.2374 2.2378
Ni 3.2374 2.5052 6.7134
Ni 5.3957 1.8114 6.7134
Ca 2.1583 2.1583 0.0000
Ca 2.1583 4.3166 4.4756
Au 0.0000 0.0000 0.0000
Au 4.3166 2.1583 4.4756
```

Computed properties:
- ρ (Mg/m³) = 7.06
- calculated total energy (eV per atom) = -4.19

DFT (PBE-GGA) results for an optimized crystal structure of CaNi2Au.

extended XYZ file:
```
4
Lattice="4.5597 0.0000 0.0000 2.2798 3.9488 0.0000 2.2798 1.3163 3.7230" Properties=species:S:1:pos:R:3 pbc="T T T"
Ni 0.0000 0.0000 0.0000
Ni 6.8395 3.9488 2.7922
Ca 2.2798 1.3163 0.9307
Au 4.5597 2.6325 1.8615
```

Computed properties:
- ρ (Mg/m³) = 8.78
- calculated total energy (eV per atom) = -4.17

DFT (PBE-GGA) results for an optimized crystal structure of Ca2NiAu.

extended XYZ file:
```
4
Lattice="-3.4876 0.4889 2.0875 2.0695 -0.2733 3.5216 0.8231 5.9619 -0.0210" Properties=species:S:1:pos:R:3 pbc="T T T"
Ni 0.3498 2.5334 -0.0089
Ca 0.7597 5.5024 -0.0194
Ca -0.4339 2.1005 2.7975
Au -0.0356 4.9851 2.7873
```

Computed properties:
- ρ (Mg/m³) = 5.53
- calculated total energy (eV per atom) = -3.44

DFT (PBE-GGA) results for an optimized crystal structure of Ca3NiAu.

extended XYZ file:
```
5
Lattice="-2.1911 -3.0530 -3.6946 4.2926 -3.0570 -0.0196 -2.1319 -3.0176 3.7579" Properties=species:S:1:pos:R:3 pbc="T T T"
Ni 0.0000 0.0000 0.0000
Ca 2.1463 -1.5285 -0.0098
Ca -1.0659 -1.5088 1.8789
Ca -1.0956 -1.5265 -1.8473
Au -0.0152 -4.5638 0.0218
```

Computed properties:
- ρ (Mg/m³) = 4.26
- ΔE to the lowest computed polymorph (meV per atom) = 254

DFT (PBE-GGA) results for an optimized crystal structure of CaNiAu11.

extended XYZ file:
```
13
Lattice="-4.5543 -0.3221 3.1635 0.9313 -4.1766 5.7661 -0.1903 5.2064 5.1327" Properties=species:S:1:pos:R:3 pbc="T T T"
Ca 0.0000 0.0000 0.0000
Ni -1.8115 -2.2494 4.4648
Au -1.2006 0.0833 3.2772
Au -2.6128 0.6244 10.7850
Au -1.5491 -2.3357 7.1385
Au -2.2642 3.0433 6.9237
Au -1.1673 0.6543 8.2713
Au -2.6461 0.0533 5.7909
Au -4.2339 1.6652 8.5456
Au 0.4206 -0.9575 5.5166
Au 0.4656 -2.0883 2.8830
Au -2.3723 2.4421 4.1481
Au -0.0951 2.6032 2.5663
```

Computed properties:
- ρ (Mg/m³) = 15.10
- calculated total energy (eV per atom) = -3.53

DFT (PBE-GGA) results for an optimized crystal structure of Ca2NiAu.

extended XYZ file:
```
4
Lattice="-0.1155 4.3524 0.0043 -3.6285 -0.0981 1.8459 0.6509 0.0117 5.7310" Properties=species:S:1:pos:R:3 pbc="T T T"
Ni -2.1958 -0.0623 4.0868
Ca -2.9742 -0.0858 7.0283
Ca -0.8066 2.1540 2.4398
Au -1.5829 2.1305 5.3916
```

Computed properties:
- ρ (Mg/m³) = 5.82
- calculated total energy (eV per atom) = -3.72

DFT (PBE-GGA) results for an optimized crystal structure of Ca2NiAu.

extended XYZ file:
```
4
Lattice="-6.1178 2.9945 3.2067 -4.0673 1.2022 6.2200 -2.9517 4.8821 4.9122" Properties=species:S:1:pos:R:3 pbc="T T T"
Ni -3.2842 2.2697 3.5847
Ca -13.0326 9.0068 14.2252
Ca -6.6726 4.6114 7.2832
Au -9.8526 6.8091 10.7542
```

Computed properties:
- ρ (Mg/m³) = 5.46
- calculated total energy (eV per atom) = -3.47